# MgUPbO6 | the Alexandria database | GGA-PBE | relaxed
# Formation energy from raw total energies (eV/atom): -2.105
# M_tot (μB per formula unit): 0.000
data_MgUPbO6
_chemical_formula_sum 'Mg2 U2 Pb2 O12'
_cell_length_a 5.5375
_cell_length_b 5.5375
_cell_length_c 9.2420
_cell_angle_alpha 90.00
_cell_angle_beta 90.00
_cell_angle_gamma 120.00
_space_group_name_H-M_alt 'P -3 1 c'
_space_group_IT_number 163
_space_group_name_Hall '-P 3 2c'
loop_
_atom_site_label
_atom_site_type_symbol
_atom_site_fract_x
_atom_site_fract_y
_atom_site_fract_z
Mg1 Mg 0.0000 0.0000 0.0000
U1 U 0.3333 0.6667 0.2500
Pb1 Pb 0.3333 0.6667 0.7500
O1 O 0.0157 0.3417 0.1273

***

# Ac2BiPd6Pb | the Alexandria database | GGA-PBE | relaxed
# M_tot (μB per formula unit): 0.000
# ΔE_f (eV/f.u.): -5.4
data_Ac2BiPd6Pb
_chemical_formula_sum 'Ac2 Bi1 Pd6 Pb1'
_cell_length_a 5.695
_cell_length_b 7.040
_cell_length_c 7.076
_cell_angle_alpha 79.34
_cell_angle_beta 66.42
_cell_angle_gamma 66.30
_space_group_name_H-M_alt 'P -1'
_space_group_IT_number 2
_space_group_name_Hall '-P 1'
loop_
_atom_site_label
_atom_site_type_symbol
_atom_site_fract_x
_atom_site_fract_y
_atom_site_fract_z
Ac1 Ac 0.025 0.224 0.224
Bi1 Bi 0.500 0.500 0.000
Pd1 Pd 0.002 0.230 0.764
Pd2 Pd 0.315 0.432 0.434
Pd3 Pd 0.495 0.770 0.236
Pb1 Pb 0.500 0.000 0.500

***

# GdZrCdPb | the Alexandria database | GGA-PBE | relaxed
# M_tot (μB per formula unit): 6.659
# ΔE_f (eV/f.u.): -0.6
data_GdZrCdPb
_chemical_formula_sum 'Gd4 Zr4 Cd4 Pb4'
_cell_length_a 7.389
_cell_length_b 7.389
_cell_length_c 7.389
_cell_angle_alpha 90.00
_cell_angle_beta 90.00
_cell_angle_gamma 90.00
_space_group_name_H-M_alt 'F -4 3 m'
_space_group_IT_number 216
_space_group_name_Hall 'F -4 2 3'
loop_
_atom_site_label
_atom_site_type_symbol
_atom_site_fract_x
_atom_site_fract_y
_atom_site_fract_z
Gd1 Gd 0.000 0.000 0.000
Zr1 Zr 0.000 0.000 0.500
Cd1 Cd 0.250 0.250 0.750
Pb1 Pb 0.250 0.250 0.250

***

# Na2AsC | the Alexandria database | GGA-PBE | relaxed
# M_tot (μB per formula unit): 0.000
# ΔE_f (eV/f.u.): 2.5
data_Na2AsC
_chemical_formula_sum 'Na8 As4 C4'
_cell_length_a 10.129
_cell_length_b 10.129
_cell_length_c 4.060
_cell_angle_alpha 90.00
_cell_angle_beta 90.00
_cell_angle_gamma 90.00
_space_group_name_H-M_alt 'I -4 2 d'
_space_group_IT_number 122
_space_group_name_Hall 'I -4 2bw'
loop_
_atom_site_label
_atom_site_type_symbol
_atom_site_fract_x
_atom_site_fract_y
_atom_site_fract_z
Na1 Na 0.007 0.250 0.125
As1 As 0.000 0.000 0.500
C1 C 0.000 0.000 0.000

***

# Ti2TlHg2 | the Alexandria database | GGA-PBE | relaxed
# M_tot (μB per formula unit): 0.000
# ΔE_f (eV/f.u.): 1.1
data_Ti2TlHg2
_chemical_formula_sum 'Ti4 Tl2 Hg4'
_cell_length_a 8.007
_cell_length_b 8.007
_cell_length_c 3.252
_cell_angle_alpha 90.00
_cell_angle_beta 90.00
_cell_angle_gamma 90.00
_space_group_name_H-M_alt 'P 4/m b m'
_space_group_IT_number 127
_space_group_name_Hall '-P 4 2ab'
loop_
_atom_site_label
_atom_site_type_symbol
_atom_site_fract_x
_atom_site_fract_y
_atom_site_fract_z
Ti1 Ti 0.171 0.329 0.000
Tl1 Tl 0.000 0.000 0.500
Hg1 Hg 0.127 0.627 0.500

***

# Mg2SiSb | the Alexandria database | GGA-PBE | relaxed
# Formation energy from raw total energies (eV/atom): 0.048
# M_tot (μB per formula unit): 0.000
data_Mg2SiSb
_chemical_formula_sum 'Mg4 Si2 Sb2'
_cell_length_a 4.143
_cell_length_b 4.143
_cell_length_c 9.872
_cell_angle_alpha 90.00
_cell_angle_beta 90.00
_cell_angle_gamma 90.00
_space_group_name_H-M_alt 'I -4 m 2'
_space_group_IT_number 119
_space_group_name_Hall 'I -4 -2'
loop_
_atom_site_label
_atom_site_type_symbol
_atom_site_fract_x
_atom_site_fract_y
_atom_site_fract_z
Mg1 Mg 0.000 0.000 0.000
Mg2 Mg 0.000 0.500 0.250
Si1 Si 0.000 0.000 0.500
Sb1 Sb 0.000 0.500 0.750

***

# Hf2ScI | the Alexandria database | GGA-PBE | relaxed
# Formation energy from raw total energies (eV/atom): 0.379
# M_tot (μB per formula unit): 0.000
data_Hf2ScI
_chemical_formula_sum 'Hf8 Sc4 I4'
_cell_length_a 4.216
_cell_length_b 4.216
_cell_length_c 21.967
_cell_angle_alpha 90.00
_cell_angle_beta 90.00
_cell_angle_gamma 90.00
_space_group_name_H-M_alt 'I -4 2 d'
_space_group_IT_number 122
_space_group_name_Hall 'I -4 2bw'
loop_
_atom_site_label
_atom_site_type_symbol
_atom_site_fract_x
_atom_site_fract_y
_atom_site_fract_z
Hf1 Hf 0.248 0.250 0.125
Sc1 Sc 0.000 0.000 0.000
I1 I 0.000 0.000 0.500

***

# KLi2InAu | the Alexandria database | GGA-PBE | relaxed
# M_tot (μB per formula unit): 0.000
# ΔE_f (eV/f.u.): -1.0
data_KLi2InAu
_chemical_formula_sum 'K1 Li2 In1 Au1'
_cell_length_a 5.218
_cell_length_b 5.218
_cell_length_c 5.237
_cell_angle_alpha 90.00
_cell_angle_beta 90.00
_cell_angle_gamma 90.00
_space_group_name_H-M_alt 'P 4/m m m'
_space_group_IT_number 123
_space_group_name_Hall '-P 4 2'
loop_
_atom_site_label
_atom_site_type_symbol
_atom_site_fract_x
_atom_site_fract_y
_atom_site_fract_z
K1 K 0.000 0.000 0.000
Li1 Li 0.000 0.500 0.500
In1 In 0.500 0.500 0.000
Au1 Au 0.500 0.500 0.500

***

Q: Among the records above, which one has the highest M_tot?
A: GdZrCdPb